[1]
## CaEuAlSn (PBE)

Data for a relaxed CaEuAlSn crystal.

Summary:
The energy of formation from the pure elements comes out at -9.5 kcal/mol of atoms. As for the space group: F-43m (216).

a = 5.4069 Å, b = 5.4069 Å, c = 5.4069 Å
α = 60.00°, β = 60.00°, γ = 60.00°
Last column: nearest neighbours and their distance in Å.
Fractional coordinates of all 4 atoms:
Eu (0.0000, 0.0000, 0.0000)  4 Sn 3.31, 4 Al 3.31
Ca (0.5000, 0.5000, 0.5000)  4 Sn 3.31, 4 Al 3.31
Sn (0.2500, 0.2500, 0.2500)  4 Ca 3.31, 4 Eu 3.31
Al (0.7500, 0.7500, 0.7500)  4 Ca 3.31, 4 Eu 3.31

[2]
## SrPdRu3 (PBE)

Data for a relaxed SrPdRu3 crystal.

Summary:
The energy of formation from the pure elements comes out at 31.5 kcal/mol of atoms. The distance to the lowest polymorph of the same formula comes out at 0 meV/atom. As for the space group: Pm-3m (221).

a = 4.8670 Å, b = 4.8670 Å, c = 4.8670 Å
α = 90.00°, β = 90.00°, γ = 90.00°
Last column: nearest neighbours and their distance in Å.
Fractional coordinates of all 5 atoms:
Ru (0.0000, 0.5000, 0.0000)  2 Pd 2.43
Ru (0.0000, 0.0000, 0.5000)  2 Pd 2.43
Ru (0.5000, 0.0000, 0.0000)  2 Pd 2.43
Pd (0.0000, 0.0000, 0.0000)  6 Ru 2.43
Sr (0.5000, 0.5000, 0.5000)  12 Ru 3.44

Total DFT energy (no corrections) in eV per atom, matching the order above: -5.42, -5.57
M_tot in μB per atom, matching the order above: 1.74, 1.06